{"formula": "CeSiRh2", "functional": "meta-GGA SCAN", "state": "single point on PBEsol structure", "cell": [[-1.277, 3.155, -1.940], [-2.876, 0.485, 2.682], [6.109, 3.662, 5.888]], "species": ["Ce", "Ce", "Si", "Si", "Rh", "Rh", "Rh", "Rh"], "frac_coords": [[0.099, 0.750, 0.197], [0.901, 0.250, 0.803], [0.321, 0.750, 0.643], [0.679, 0.250, 0.357], [0.549, 0.250, 0.098], [0.451, 0.750, 0.902], [0.250, 0.250, 0.500], [0.750, 0.750, 0.500]], "e_tot_ev_per_cell": -253.09, "spacegroup": "No. 63", "raw_formation_energy_ev_per_atom": -1.105}